Here is a relaxed structure of ZnSbSe2 from Alexandria via LeMat-Bulk. Energies are from PBE.

a b c (Å): 7.0291 7.0291 7.0291
angles (deg): 90.00 90.00 90.00
Space group Fm-3m (No. 225)
Unique sites:
Zn 0.0000 0.0000 0.0000
Sb 0.0000 0.0000 0.5000
Se 0.2500 0.2500 0.2500

Values from the calculation:
**Energy relative to the lowest polymorph listed for this composition**: 1.285 eV per formula unit
**E**: -3.01 eV/atom
**Formation energy from raw total energies**: 0.086 eV/atom